Density functional theory data (PBEsol) for AsS3I after structural relaxation.

Cell: 4.7420 4.7420 4.7420 Å, 90.00 90.00 90.00°
Last column: nearest neighbours and their distance in Å.
Sites, in units of the cell vectors:
As (0.0000, 0.0000, 0.0000)  6 S 2.37
S (0.0000, 0.0000, 0.5000)  2 As 2.37
S (0.0000, 0.5000, 0.0000)  2 As 2.37
S (0.5000, 0.0000, 0.0000)  2 As 2.37
I (0.5000, 0.5000, 0.5000)  12 S 3.35

Output
Calculated volume (Å³/cell): 106.6
Uncorrected energy (eV/f.u.): -17.259

Density functional theory data (PBEsol) for Sr3Au after structural relaxation.

Cell: 6.6946 6.6946 6.6946 Å, 116.32 116.32 116.32°
Last column: nearest neighbours and their distance in Å.
Sites, in units of the cell vectors:
Sr (0.0000, 0.5000, 0.5000)  6 Sr 3.53-3.90, 2 Au 3.53
Sr (0.5000, 0.0000, 0.5000)  2 Au 3.53, 6 Sr 3.53-3.90
Sr (0.5000, 0.5000, 0.0000)  6 Sr 3.53-3.90, 2 Au 3.53
Au (0.0000, 0.0000, 0.0000)  6 Sr 3.53, 2 Au 3.90

Output
Calculated volume (Å³/cell): 145.8
Uncorrected energy (eV/f.u.): -9.368
DFT formation energy (eV per atom): 0.019

Density functional theory data (PBEsol) for Zn3C after structural relaxation.

Cell: 4.2486 4.2486 2.9182 Å, 90.00 90.00 111.29°
Last column: nearest neighbours and their distance in Å.
Sites, in units of the cell vectors:
Zn (0.0000, 0.0000, 0.0000)  2 C 2.40, 8 Zn 2.58
Zn (0.0000, 0.5000, 0.5000)  6 Zn 2.40-2.58, 4 C 2.58
Zn (0.5000, 0.0000, 0.5000)  6 Zn 2.40-2.58, 4 C 2.58
C (0.5000, 0.5000, 0.0000)  10 Zn 2.40-2.58

Output
Calculated volume (Å³/cell): 49.1
Uncorrected energy (eV/f.u.): -10.222
DFT formation energy (eV per atom): 1.042

Density functional theory data (PBEsol) for Bi after structural relaxation.

Cell: 6.2968 3.2306 3.2552 Å, 90.00 90.00 90.00°
Last column: nearest neighbours and their distance in Å.
Sites, in units of the cell vectors:
Bi (0.2500, 0.0000, 0.1020)  6 Bi 3.22-3.26
Bi (0.7500, 0.0000, 0.8980)  6 Bi 3.22-3.26

Output
Distance to the lowest polymorph of the same formula (eV/atom): 0.022
Calculated volume (Å³/cell): 66.2
Uncorrected energy (eV/f.u.): -4.263
DFT formation energy (eV per atom): 0.022